A PBEsol-optimized structure of YNiMo2, computed with meta-GGA SCAN.

Output
Excess energy over the best structure of this formula in the dataset: 0.000 eV/atom
ρ: 8.650 Mg/m³

Cell lengths 5.255, 9.578, 2.771 Å; angles 90.00, 110.83, 90.00 degrees
Space group C2/m (No. 12)
Inequivalent atoms, fractional coordinates:
Y (0.000, 0.000, 0.000) (multiplicity 2)
Ni (0.000, 0.500, 0.000) (multiplicity 2)
Mo (0.250, 0.250, 0.500) (multiplicity 4)


A PBEsol-optimized structure of LiAlFeO4, computed with meta-GGA SCAN.

Output
Formation energy (no corrections): -2329 meV per atom
ρ: 4.035 Mg/m³

Cell lengths 9.111, 2.795, 9.941 Å; angles 90.00, 90.00, 90.00 degrees
Space group Pnma (No. 62)
Inequivalent atoms, fractional coordinates:
Li (0.085, 0.250, 0.128) (multiplicity 4)
Al (0.000, 0.250, 0.626) (multiplicity 4)
Fe (0.223, 0.750, 0.850) (multiplicity 4)
O (0.081, 0.750, 0.719) (multiplicity 4)
O (0.107, 0.250, 0.464) (multiplicity 4)
O (0.134, 0.250, 0.939) (multiplicity 4)
O (0.170, 0.750, 0.259) (multiplicity 4)


A PBEsol-optimized structure of MgSc2Cu, computed with meta-GGA SCAN.

Output
ρ: 3.743 Mg/m³
Electronic total energy: -49.1 eV/cell

Cell lengths 3.167, 3.167, 7.865 Å; angles 90.00, 90.00, 90.00 degrees
Space group P4mm (No. 99)
Inequivalent atoms, fractional coordinates:
Mg (0.000, 0.000, 0.000) (multiplicity 1)
Sc (0.000, 0.000, 0.595) (multiplicity 1)
Sc (0.500, 0.500, 0.300) (multiplicity 1)
Cu (0.500, 0.500, 0.799) (multiplicity 1)


A PBEsol-optimized structure of NdGaSi, computed with meta-GGA SCAN.

Output
Formation energy (no corrections): -776 meV per atom
ρ: 6.565 Mg/m³

Cell lengths 4.151, 4.151, 14.209 Å; angles 90.00, 90.00, 90.00 degrees
Space group I4_1md (No. 109)
Inequivalent atoms, fractional coordinates:
Nd (0.000, 0.000, 0.000) (multiplicity 4)
Ga (0.000, 0.000, 0.583) (multiplicity 4)
Si (0.000, 0.000, 0.417) (multiplicity 4)


| no. | size of the total moment (μB/f.u.) |
| --- | --- |
| 1 | 0.00 |
| 2 | 2.00 |
| 3 | 1.70 |
| 4 | 0.00 |